PmTaN2O, relaxed, DFT PBE; SG = Ima2, No. 46; E = -9.5335 eV per atom
1.0
0.426 -5.366 -1.651
-4.989 1.936 1.752
0.422 4.076 -3.861
N O Pm Ta
4 2 2 2
Direct
0.722 0.527 0.304
0.223 0.027 0.305
0.722 0.918 0.695
0.223 0.418 0.696
0.124 0.475 0.149
0.327 0.975 0.851
0.727 0.957 0.270
0.688 0.457 0.730
0.203 0.203 0.000
0.203 0.703 0.500

***

HoBAu, relaxed, DFT PBE; SG = F-43m, No. 216; E = -4.9909 eV per atom
1.0
-4.020 -1.060 0.799
-2.582 2.769 1.893
-3.140 1.805 -2.191
Au B Ho
1 1 1
Direct
0.250 0.250 0.250
0.000 0.000 0.000
0.750 0.750 0.750

***

LiTe3WAu, relaxed, DFT PBE; SG = Cmcm, No. 63; E = -4.5611 eV per atom
1.0
7.121 -1.875 0.000
7.121 1.875 0.000
0.000 0.000 10.530
Au Li Te W
2 2 6 2
Direct
0.451 0.451 0.250
0.549 0.549 0.750
0.794 0.794 0.250
0.206 0.206 0.750
0.356 0.356 0.032
0.099 0.099 0.250
0.356 0.356 0.468
0.644 0.644 0.532
0.901 0.901 0.750
0.644 0.644 0.968
0.000 0.000 0.000
0.000 0.000 0.500

***

TbTaC2, relaxed, DFT PBE; SG = P4/mmm, No. 123; E = -8.9900 eV per atom
1.0
-2.566 2.119 0.394
-2.154 -2.501 -0.578
-0.100 -0.977 4.604
C Ta Tb
2 1 1
Direct
0.000 0.000 0.000
0.500 0.500 0.500
0.000 0.000 0.500
0.500 0.500 0.000